Entry 1:
# PIrRuN, relaxed, DFT PBE
# Distance to the lowest polymorph of the same formula ... 93.7 meV/atom
# Magnetization ... 0.00 μB/f.u.
# Formation energy without anion corrections ... 0.03 eV/atom
data_PIrRuN
_cell_length_a 7.096
_cell_length_b 2.871
_cell_length_c 6.192
_cell_angle_alpha 90.00
_cell_angle_beta 123.52
_cell_angle_gamma 90.00
_symmetry_space_group_name_H-M 'C 1 m 1'
_symmetry_Int_Tables_number 8
_symmetry_space_group_name_Hall 'C -2y'
loop_
_atom_site_label
_atom_site_type_symbol
_atom_site_fract_x
_atom_site_fract_y
_atom_site_fract_z
P1 P 0.000 0.000 0.000
Ir1 Ir 0.313 0.500 0.205
Ru1 Ru 0.413 0.000 0.654
N1 N 0.078 0.000 0.575

***

Entry 2:
# PIrRuN, relaxed, DFT PBE
# Distance to the lowest polymorph of the same formula ... 164.7 meV/atom
# Magnetization ... 0.00 μB/f.u.
# Formation energy without anion corrections ... 0.10 eV/atom
data_PIrRuN
_cell_length_a 6.947
_cell_length_b 2.829
_cell_length_c 5.825
_cell_angle_alpha 90.00
_cell_angle_beta 94.55
_cell_angle_gamma 90.00
_symmetry_space_group_name_H-M 'C 1 m 1'
_symmetry_Int_Tables_number 8
_symmetry_space_group_name_Hall 'C -2y'
loop_
_atom_site_label
_atom_site_type_symbol
_atom_site_fract_x
_atom_site_fract_y
_atom_site_fract_z
P1 P 0.000 0.000 0.000
Ir1 Ir 0.226 0.500 0.210
Ru1 Ru 0.258 0.000 0.772
N1 N 0.221 0.500 0.536

***

Entry 3:
# PIrRuN, relaxed, DFT PBE
# Distance to the lowest polymorph of the same formula ... 174.5 meV/atom
# Magnetization ... 0.00 μB/f.u.
# Formation energy without anion corrections ... 0.11 eV/atom
data_PIrRuN
_cell_length_a 3.310
_cell_length_b 3.315
_cell_length_c 5.998
_cell_angle_alpha 74.73
_cell_angle_beta 74.26
_cell_angle_gamma 60.10
_symmetry_space_group_name_H-M 'P 1'
_symmetry_Int_Tables_number 1
_symmetry_space_group_name_Hall 'P 1'
loop_
_atom_site_label
_atom_site_type_symbol
_atom_site_fract_x
_atom_site_fract_y
_atom_site_fract_z
P1 P 0.000 0.000 0.000
Ir1 Ir 0.595 0.599 0.213
Ru1 Ru 0.767 0.774 0.691
N1 N 0.477 0.478 0.566

***

Entry 4:
# PIrRuN, relaxed, DFT PBE
# Distance to the lowest polymorph of the same formula ... 129.8 meV/atom
# Magnetization ... 0.00 μB/f.u.
# Formation energy without anion corrections ... 0.07 eV/atom
data_PIrRuN
_cell_length_a 6.970
_cell_length_b 2.867
_cell_length_c 5.753
_cell_angle_alpha 90.00
_cell_angle_beta 113.94
_cell_angle_gamma 90.00
_symmetry_space_group_name_H-M 'C 1 m 1'
_symmetry_Int_Tables_number 8
_symmetry_space_group_name_Hall 'C -2y'
loop_
_atom_site_label
_atom_site_type_symbol
_atom_site_fract_x
_atom_site_fract_y
_atom_site_fract_z
P1 P 0.000 0.000 0.000
Ir1 Ir 0.359 0.000 0.212
Ru1 Ru 0.305 0.000 0.659
N1 N 0.072 0.500 0.580

***

Entry 5:
# PIrRuN, relaxed, DFT PBE
# Distance to the lowest polymorph of the same formula ... 115.1 meV/atom
# Magnetization ... 0.00 μB/f.u.
# Formation energy without anion corrections ... 0.05 eV/atom
data_PIrRuN
_cell_length_a 2.8719
_cell_length_b 2.8719
_cell_length_c 6.9237
_cell_angle_alpha 90.00
_cell_angle_beta 90.00
_cell_angle_gamma 120.00
_symmetry_space_group_name_H-M 'P 3 m 1'
_symmetry_Int_Tables_number 156
_symmetry_space_group_name_Hall 'P 3 -2"'
loop_
_atom_site_label
_atom_site_type_symbol
_atom_site_fract_x
_atom_site_fract_y
_atom_site_fract_z
P1 P 0.0000 0.0000 0.0000
Ir1 Ir 0.6667 0.3333 0.7514
Ru1 Ru 0.3333 0.6667 0.2877
N1 N 0.6667 0.3333 0.4525

***

Entry 6:
# PIrRuN, relaxed, DFT PBE
# Distance to the lowest polymorph of the same formula ... 101.8 meV/atom
# Magnetization ... 0.00 μB/f.u.
# Formation energy without anion corrections ... 0.04 eV/atom
data_PIrRuN
_cell_length_a 5.978
_cell_length_b 2.940
_cell_length_c 6.297
_cell_angle_alpha 90.00
_cell_angle_beta 106.84
_cell_angle_gamma 90.00
_symmetry_space_group_name_H-M 'C 1 m 1'
_symmetry_Int_Tables_number 8
_symmetry_space_group_name_Hall 'C -2y'
loop_
_atom_site_label
_atom_site_type_symbol
_atom_site_fract_x
_atom_site_fract_y
_atom_site_fract_z
P1 P 0.000 0.000 0.000
Ir1 Ir 0.244 0.000 0.795
Ru1 Ru 0.318 0.500 0.430
N1 N 0.079 0.000 0.280

***

Entry 7:
# PIrRuN, relaxed, DFT PBE
# Distance to the lowest polymorph of the same formula ... 223.1 meV/atom
# Magnetization ... 0.00 μB/f.u.
# Formation energy without anion corrections ... 0.16 eV/atom
data_PIrRuN
_cell_length_a 2.827
_cell_length_b 2.788
_cell_length_c 6.656
_cell_angle_alpha 90.00
_cell_angle_beta 90.46
_cell_angle_gamma 90.00
_symmetry_space_group_name_H-M 'P 1 m 1'
_symmetry_Int_Tables_number 6
_symmetry_space_group_name_Hall 'P -2y'
loop_
_atom_site_label
_atom_site_type_symbol
_atom_site_fract_x
_atom_site_fract_y
_atom_site_fract_z
P1 P 0.000 0.000 0.000
Ir1 Ir 0.988 0.000 0.351
Ru1 Ru 0.495 0.500 0.794
N1 N 0.493 0.000 0.562

***

Entry 8:
# PIrRuN, relaxed, DFT PBE
# Distance to the lowest polymorph of the same formula ... 275.5 meV/atom
# Magnetization ... 0.00 μB/f.u.
# Formation energy without anion corrections ... 0.22 eV/atom
data_PIrRuN
_cell_length_a 3.699
_cell_length_b 3.718
_cell_length_c 4.040
_cell_angle_alpha 103.61
_cell_angle_beta 107.62
_cell_angle_gamma 90.94
_symmetry_space_group_name_H-M 'P 1'
_symmetry_Int_Tables_number 1
_symmetry_space_group_name_Hall 'P 1'
loop_
_atom_site_label
_atom_site_type_symbol
_atom_site_fract_x
_atom_site_fract_y
_atom_site_fract_z
P1 P 0.000 0.000 0.000
Ir1 Ir 0.305 0.549 0.723
Ru1 Ru 0.710 0.995 0.425
N1 N 0.341 0.372 0.217

***

Entry 9:
# PIrSN, relaxed, DFT PBE
# Distance to the lowest polymorph of the same formula ... 155.9 meV/atom
# Magnetization ... 0.00 μB/f.u.
# Formation energy without anion corrections ... 0.15 eV/atom
data_PIrSN
_cell_length_a 3.716
_cell_length_b 4.353
_cell_length_c 4.532
_cell_angle_alpha 71.25
_cell_angle_beta 66.01
_cell_angle_gamma 65.08
_symmetry_space_group_name_H-M 'P 1'
_symmetry_Int_Tables_number 1
_symmetry_space_group_name_Hall 'P 1'
loop_
_atom_site_label
_atom_site_type_symbol
_atom_site_fract_x
_atom_site_fract_y
_atom_site_fract_z
P1 P 0.000 0.000 0.000
Ir1 Ir 0.716 0.693 0.869
S1 S 0.571 0.437 0.414
N1 N 0.786 0.017 0.410

***

Entry 10:
# PIrSN, relaxed, DFT PBE
# Distance to the lowest polymorph of the same formula ... 251.3 meV/atom
# Magnetization ... 0.00 μB/f.u.
# Formation energy without anion corrections ... 0.25 eV/atom
data_PIrSN
_cell_length_a 3.358
_cell_length_b 3.606
_cell_length_c 6.513
_cell_angle_alpha 105.04
_cell_angle_beta 90.20
_cell_angle_gamma 117.74
_symmetry_space_group_name_H-M 'P 1'
_symmetry_Int_Tables_number 1
_symmetry_space_group_name_Hall 'P 1'
loop_
_atom_site_label
_atom_site_type_symbol
_atom_site_fract_x
_atom_site_fract_y
_atom_site_fract_z
P1 P 0.000 0.000 0.000
Ir1 Ir 0.278 0.552 0.350
S1 S 0.659 0.311 0.535
N1 N 0.895 0.787 0.197

***

Entry 11:
# PIrSN, relaxed, DFT PBE
# Distance to the lowest polymorph of the same formula ... 69.9 meV/atom
# Magnetization ... 0.00 μB/f.u.
# Formation energy without anion corrections ... 0.06 eV/atom
data_PIrSN
_cell_length_a 2.780
_cell_length_b 3.547
_cell_length_c 6.737
_cell_angle_alpha 93.03
_cell_angle_beta 91.01
_cell_angle_gamma 90.00
_symmetry_space_group_name_H-M 'P 1'
_symmetry_Int_Tables_number 1
_symmetry_space_group_name_Hall 'P 1'
loop_
_atom_site_label
_atom_site_type_symbol
_atom_site_fract_x
_atom_site_fract_y
_atom_site_fract_z
P1 P 0.000 0.000 0.000
Ir1 Ir 0.512 0.758 0.279
S1 S 0.522 0.282 0.499
N1 N 0.503 0.259 0.079

***

Entry 12:
# PIrS2N, relaxed, DFT PBE
# Distance to the lowest polymorph of the same formula ... 401.0 meV/atom
# Magnetization ... 0.00 μB/f.u.
# Formation energy without anion corrections ... 1.20 eV/atom
data_PIrS2N
_cell_length_a 4.034
_cell_length_b 4.034
_cell_length_c 3.968
_cell_angle_alpha 90.00
_cell_angle_beta 90.00
_cell_angle_gamma 90.00
_symmetry_space_group_name_H-M 'P 4/m m m'
_symmetry_Int_Tables_number 123
_symmetry_space_group_name_Hall '-P 4 2'
loop_
_atom_site_label
_atom_site_type_symbol
_atom_site_fract_x
_atom_site_fract_y
_atom_site_fract_z
P1 P 0.000 0.000 0.000
Ir1 Ir 0.500 0.500 0.000
S1 S 0.000 0.500 0.500
N1 N 0.000 0.000 0.500

***

Entry 13:
# PIrSN, relaxed, DFT PBE
# Distance to the lowest polymorph of the same formula ... 100.3 meV/atom
# Magnetization ... 0.00 μB/f.u.
# Formation energy without anion corrections ... 0.10 eV/atom
data_PIrSN
_cell_length_a 2.795
_cell_length_b 4.076
_cell_length_c 5.270
_cell_angle_alpha 77.71
_cell_angle_beta 76.11
_cell_angle_gamma 70.52
_symmetry_space_group_name_H-M 'P 1'
_symmetry_Int_Tables_number 1
_symmetry_space_group_name_Hall 'P 1'
loop_
_atom_site_label
_atom_site_type_symbol
_atom_site_fract_x
_atom_site_fract_y
_atom_site_fract_z
P1 P 0.000 0.000 0.000
Ir1 Ir 0.091 0.534 0.319
S1 S 0.267 0.917 0.574
N1 N 0.379 0.253 0.997